A relaxed SrTiPb3 crystal. Source: the Alexandria database, functional PBE-GGA.

Its formation energy is -12 kJ per mole of atoms. The crystal system is cubic. The calculation puts the energy above the most stable polymorph in this dataset at 0.000 eV/atom. The calculation puts the total moment at 0.0 μB per cell. The total energy is -4.27 eV/atom. The value obtained for the density of states at the Fermi level is 2.0 states/eV/cell.

It has space group Pm-3m (No. 221), with a = 5.4649 Å, b = 5.4649 Å, c = 5.4649 Å, α = 90.00°, β = 90.00° and γ = 90.00°. The distinct sites, in fractional coordinates, are Sr at (0.0000, 0.0000, 0.0000), Ti at (0.5000, 0.5000, 0.5000) and Pb at (0.0000, 0.5000, 0.5000).